[1]
Below is K2LiMoCl6 after structural relaxation, with properties calculated at the PBEsol level.

Computed properties:
SG	Fm-3m

```
K2LiMoCl6
1.0
0.000 4.922 4.922
4.922 0.000 4.922
4.922 4.922 0.000
K Li Mo Cl
2 1 1 6
direct
0.250 0.250 0.250 K
0.750 0.750 0.750 K
0.000 0.000 0.000 Li
0.500 0.500 0.500 Mo
0.255 0.255 0.745 Cl
0.255 0.745 0.255 Cl
0.255 0.745 0.745 Cl
0.745 0.255 0.255 Cl
0.745 0.255 0.745 Cl
0.745 0.745 0.255 Cl
```

[2]
Below is K2LiNdCl6 after structural relaxation, with properties calculated at the PBEsol level.

Computed properties:
SG	Fm-3m
DOS(E_F)	0.0000	states/eV/atom

```
K2LiNdCl6
1.0
0.000 5.180 5.180
5.180 0.000 5.180
5.180 5.180 0.000
K Li Nd Cl
2 1 1 6
direct
0.250 0.250 0.250 K
0.750 0.750 0.750 K
0.000 0.000 0.000 Li
0.500 0.500 0.500 Nd
0.241 0.241 0.759 Cl
0.241 0.759 0.241 Cl
0.241 0.759 0.759 Cl
0.759 0.241 0.241 Cl
0.759 0.241 0.759 Cl
0.759 0.759 0.241 Cl
```

[3]
Below is K2LiSbCl6 after structural relaxation, with properties calculated at the PBEsol level.

Computed properties:
SG	Fm-3m
DOS(E_F)	0.0000	states/eV/atom

```
K2LiSbCl6
1.0
0.000 5.116 5.116
5.116 0.000 5.116
5.116 5.116 0.000
K Li Sb Cl
2 1 1 6
direct
0.250 0.250 0.250 K
0.750 0.750 0.750 K
0.000 0.000 0.000 Li
0.500 0.500 0.500 Sb
0.244 0.244 0.756 Cl
0.244 0.756 0.244 Cl
0.244 0.756 0.756 Cl
0.756 0.244 0.244 Cl
0.756 0.244 0.756 Cl
0.756 0.756 0.244 Cl
```

[4]
Below is K2LiTlCl6 after structural relaxation, with properties calculated at the PBEsol level.

Computed properties:
SG	Fm-3m
DOS(E_F)	0.0000	states/eV/atom

```
K2LiTlCl6
1.0
0.000 5.071 5.071
5.071 0.000 5.071
5.071 5.071 0.000
K Li Tl Cl
2 1 1 6
direct
0.250 0.250 0.250 K
0.750 0.750 0.750 K
0.000 0.000 0.000 Li
0.500 0.500 0.500 Tl
0.247 0.247 0.753 Cl
0.247 0.753 0.247 Cl
0.247 0.753 0.753 Cl
0.753 0.247 0.247 Cl
0.753 0.247 0.753 Cl
0.753 0.753 0.247 Cl
```

[5]
Below is K2LiTmCl6 after structural relaxation, with properties calculated at the PBEsol level.

Computed properties:
SG	Fm-3m
DOS(E_F)	0.0000	states/eV/atom

```
K2LiTmCl6
1.0
0.000 5.053 5.053
5.053 0.000 5.053
5.053 5.053 0.000
K Li Tm Cl
2 1 1 6
direct
0.250 0.250 0.250 K
0.750 0.750 0.750 K
0.000 0.000 0.000 Li
0.500 0.500 0.500 Tm
0.247 0.247 0.753 Cl
0.247 0.753 0.247 Cl
0.247 0.753 0.753 Cl
0.753 0.247 0.247 Cl
0.753 0.247 0.753 Cl
0.753 0.753 0.247 Cl
```

[6]
Below is K3LuCl6 after structural relaxation, with properties calculated at the PBEsol level.

Computed properties:
SG	Fm-3m
DOS(E_F)	0.0000	states/eV/atom

```
K3LuCl6
1.0
0.000 5.435 5.435
5.435 0.000 5.435
5.435 5.435 0.000
K Lu Cl
3 1 6
direct
0.000 0.000 0.000 K
0.250 0.250 0.250 K
0.750 0.750 0.750 K
0.500 0.500 0.500 Lu
0.267 0.267 0.733 Cl
0.267 0.733 0.267 Cl
0.267 0.733 0.733 Cl
0.733 0.267 0.267 Cl
0.733 0.267 0.733 Cl
0.733 0.733 0.267 Cl
```

| no. | uncorrected energy (eV/atom) |
| --- | --- |
| 1 | -4.280 |
| 2 | -4.170 |
| 3 | -3.562 |
| 4 | -3.297 |
| 5 | -4.192 |
| 6 | -4.081 |